Below is a geometry-optimized Ac3Mg3In8 structure, with properties calculated at the GGA-PBE level.

- E_tot: -43.994 eV/f.u.
- Mass density: 7.07 g/cm3
- DOS(E_F): 15.6 states/eV per cell

CIF file:
```
data_Ac3Mg3In8
_chemical_formula_sum 'Ac6 Mg6 In16'
_symmetry_space_group_name_H-M 'I m m m'
_symmetry_Int_Tables_number 71
_symmetry_space_group_name_Hall '-I 2 2'
_cell_length_a 4.8780
_cell_length_b 11.0570
_cell_length_c 14.5748
_cell_angle_alpha 90.00
_cell_angle_beta 90.00
_cell_angle_gamma 90.00
loop_
_atom_site_label
_atom_site_type_symbol
_atom_site_fract_x
_atom_site_fract_y
_atom_site_fract_z
_atom_site_occupancy
Ac1 Ac 0.0000 0.0000 0.0000 1
Ac2 Ac 0.0000 0.0000 0.3022 1
Mg1 Mg 0.0000 0.1946 0.5000 1
Mg2 Mg 0.0000 0.5000 0.0000 1
In1 In 0.0000 0.2868 0.1363 1
In2 In 0.0000 0.3656 0.3431 1
```